(1)
## LiTi2I6 (GGA-PBE)

Data for an optimized crystal structure of LiTi2I6.

Lattice parameters (Å, degrees): 15.222 4.050 12.181 90.00 120.17 90.00
Space group C2/m (No. 12)
Inequivalent atoms, fractional coordinates:
Li1 0.000 0.000 0.000 [2 per cell]
Ti1 0.174 0.500 0.347 [4 per cell]
I1 0.020 0.000 0.260 [4 per cell]
I2 0.159 0.500 0.107 [4 per cell]
I3 0.173 0.500 0.579 [4 per cell]

Computed properties:
Energy relative to the lowest polymorph listed for this composition (meV/atom): 0.0

(2)
## LiTiI4 (GGA-PBE)

Data for an optimized crystal structure of LiTiI4.

Lattice parameters (Å, degrees): 7.216 4.140 7.335 90.00 91.01 90.00
Space group P2/m (No. 10)
Inequivalent atoms, fractional coordinates:
Li1 0.000 0.000 0.000 [1 per cell]
Ti1 0.500 0.500 0.000 [1 per cell]
I1 0.182 0.500 0.780 [2 per cell]
I2 0.349 0.000 0.223 [2 per cell]

no.,DFT total energy (eV per atom),formation energy (no corrections) (meV/atom),D(E_F) (states/eV/f.u.)
1,-3.82,-824,5.041
2,-3.56,-888,3.574